A geometry-optimized NbInSN2 structure. Source: the Alexandria database, functional PBE-GGA.

Cell: 4.093 4.093 5.111 Å, 90.00 90.00 90.00°
Last column: magnetic moment on the atom in μB.
Fractional coordinates of all 5 atoms:
In: 0.000 0.000 0.000  -0.01
Nb: 0.500 0.500 0.500  -2.03
N: 0.000 0.500 0.000  0.65
N: 0.500 0.000 0.000  0.65
S: 0.000 0.000 0.500  0.12

ρ	5.2	g cm⁻³

A geometry-optimized NbInSN2 structure. Source: the Alexandria database, functional PBE-GGA.

Cell: 4.043 4.043 5.247 Å, 90.00 90.00 90.00°
Last column: magnetic moment on the atom in μB.
Fractional coordinates of all 5 atoms:
Nb: 0.000 0.000 0.000  -0.05
N: 0.000 0.500 0.000  0.18
N: 0.500 0.000 0.000  0.18
In: 0.500 0.500 0.500  0.00
S: 0.000 0.000 0.500  0.00

ρ	5.2	g cm⁻³

A geometry-optimized NbInSe2N structure. Source: the Alexandria database, functional PBE-GGA.

Cell: 5.350 5.350 3.982 Å, 90.00 90.00 90.00°
Last column: magnetic moment on the atom in μB.
Fractional coordinates of all 5 atoms:
In: 0.000 0.000 0.000  -0.01
Se: 0.000 0.500 0.000  -0.03
Se: 0.500 0.000 0.000  -0.03
N: 0.000 0.000 0.500  0.85
Nb: 0.500 0.500 0.500  2.25

ρ	5.5	g cm⁻³

DFT total energy, record by record: -5.29, -6.62, -4.56 eV/atom
ΔE_f (raw), record by record: 1.428, 0.098, 1.064 eV per atom